Entry 1:
SrYAgTeS2: relaxed, PBE.

CIF file:
```
data_SrYAgTeS2
_chemical_formula_sum 'Sr4 Y4 Ag4 Te4 S8'
_space_group_name_H-M_alt 'C m c m'
_space_group_IT_number 63
_space_group_name_Hall '-C 2c 2'
_cell_length_a 4.086
_cell_length_b 14.543
_cell_length_c 11.053
_cell_angle_alpha 90.00
_cell_angle_beta 90.00
_cell_angle_gamma 90.00
loop_
_atom_site_label
_atom_site_fract_x
_atom_site_fract_y
_atom_site_fract_z
Sr1 0.000 0.206 0.250
Y1 0.000 0.000 0.000
Ag1 0.000 0.487 0.750
Te1 0.000 0.114 0.750
S1 0.000 0.380 0.570
```

Computed properties:
Density ... 4.82 Mg/m³
Calculated total energy ... -123.78 eV/cell

Entry 2:
CuAg4: relaxed, PBE.

CIF file:
```
data_CuAg4
_chemical_formula_sum 'Cu3 Ag12'
_space_group_name_H-M_alt 'R -3 m'
_space_group_IT_number 166
_space_group_name_Hall '-R 3 2"'
_cell_length_a 2.8813
_cell_length_b 2.8813
_cell_length_c 35.1264
_cell_angle_alpha 90.00
_cell_angle_beta 90.00
_cell_angle_gamma 120.00
loop_
_atom_site_label
_atom_site_fract_x
_atom_site_fract_y
_atom_site_fract_z
Cu1 0.0000 0.0000 0.0000
Ag1 0.0000 0.0000 0.2014
Ag2 0.0000 0.0000 0.3957
```

Computed properties:
Density ... 9.76 Mg/m³
ΔH_f (0 K) ... 0.05 eV/atom
Calculated total energy ... -44.24 eV/cell

Entry 3:
Gd3Ga3GePd2: relaxed, PBE.

CIF file:
```
data_Gd3Ga3GePd2
_chemical_formula_sum 'Gd3 Ga3 Ge1 Pd2'
_space_group_name_H-M_alt 'P -6 2 m'
_space_group_IT_number 189
_space_group_name_Hall 'P -6 -2'
_cell_length_a 7.5062
_cell_length_b 7.5062
_cell_length_c 3.8173
_cell_angle_alpha 90.00
_cell_angle_beta 90.00
_cell_angle_gamma 120.00
loop_
_atom_site_label
_atom_site_fract_x
_atom_site_fract_y
_atom_site_fract_z
Gd1 0.0000 0.3958 0.0000
Ga1 0.0000 0.7320 0.5000
Ge1 0.0000 0.0000 0.0000
Pd1 0.3333 0.6667 0.5000
```

Computed properties:
Density ... 8.62 Mg/m³
Calculated total energy ... -44.99 eV/cell

Entry 4:
SmInSe: relaxed, PBE.

CIF file:
```
data_SmInSe
_chemical_formula_sum 'Sm1 In1 Se1'
_space_group_name_H-M_alt 'P 4/m m m'
_space_group_IT_number 123
_space_group_name_Hall '-P 4 2'
_cell_length_a 4.625
_cell_length_b 4.625
_cell_length_c 5.470
_cell_angle_alpha 90.00
_cell_angle_beta 90.00
_cell_angle_gamma 90.00
loop_
_atom_site_label
_atom_site_fract_x
_atom_site_fract_y
_atom_site_fract_z
Sm1 0.000 0.000 0.000
In1 0.500 0.500 0.000
Se1 0.000 0.000 0.500
```

Computed properties:
Density ... 4.88 Mg/m³
Calculated total energy ... -12.03 eV/cell

Entry 5:
Li3ErBiAs: relaxed, PBE.

CIF file:
```
data_Li3ErBiAs
_chemical_formula_sum 'Li3 Er1 Bi1 As1'
_space_group_name_H-M_alt 'P 3 m 1'
_space_group_IT_number 156
_cell_length_a 4.3959
_cell_length_b 4.3959
_cell_length_c 6.9778
_cell_angle_alpha 90.00
_cell_angle_beta 90.00
_cell_angle_gamma 120.00
loop_
_space_group_symop_operation_xyz
'x,y,z'
'-y,x-y,z'
'-x+y,-x,z'
'-y,-x,z'
'-x+y,y,z'
'x,x-y,z'
loop_
_atom_site_label
_atom_site_fract_x
_atom_site_fract_y
_atom_site_fract_z
Li1 0.0000 0.0000 0.0000
Li2 0.3333 0.6667 0.1267
Li3 0.6667 0.3333 0.8352
Er1 0.0000 0.0000 0.5197
Bi1 0.6667 0.3333 0.2545
As1 0.3333 0.6667 0.7462
```

Computed properties:
Density ... 6.71 Mg/m³
Calculated total energy ... -23.72 eV/cell

Entry 6:
CoPd3: relaxed, PBE.

CIF file:
```
data_CoPd3
_chemical_formula_sum 'Co4 Pd12'
_space_group_name_H-M_alt 'P n m a'
_space_group_IT_number 62
_cell_length_a 6.409
_cell_length_b 7.535
_cell_length_c 4.922
_cell_angle_alpha 90.00
_cell_angle_beta 90.00
_cell_angle_gamma 90.00
loop_
_space_group_symop_operation_xyz
'x,y,z'
'-x,-y,-z'
'-x+1/2,-y,z+1/2'
'x+1/2,y,-z+1/2'
'x+1/2,-y+1/2,-z+1/2'
'-x+1/2,y+1/2,z+1/2'
'-x,y+1/2,-z'
'x,-y+1/2,z'
loop_
_atom_site_label
_atom_site_fract_x
_atom_site_fract_y
_atom_site_fract_z
Co1 0.115 0.250 0.095
Pd1 0.023 0.750 0.388
Pd2 0.188 0.549 0.889
```

Computed properties:
Density ... 10.57 Mg/m³
ΔH_f (0 K) ... 0.15 eV/atom
Calculated total energy ... -88.08 eV/cell

Question: Number 3 is which compound?
Answer: Gd3Ga3GePd2

Question: Number 5 is which compound?
Answer: Li3ErBiAs